Entry 1:
NbCrSn3, relaxed, DFT PBE-GGA; offset from the most stable computed form = 0.0 meV/atom; symmetry = Pm-3m (221); calculated total energy = -5.36 eV per atom; ΔH_f (0 K) = 0.9818 eV per atom
1.0
-1.643 4.373 -1.717
-2.391 0.787 4.293
4.044 2.242 1.841
Cr Nb Sn
1 1 3
Direct
0.000 0.000 0.000
0.500 0.500 0.500
0.000 0.500 0.000
0.000 0.000 0.500
0.500 0.000 0.000

Entry 2:
CaCr2Re, relaxed, DFT PBE-GGA; offset from the most stable computed form = 190.7 meV/atom; symmetry = Cm (8); calculated total energy = -7.75 eV per atom; ΔH_f (0 K) = 0.6748 eV per atom
1.0
-1.055 2.544 -4.031
-0.966 -0.323 -4.774
-5.289 -0.062 -0.395
Re Ca Cr
1 1 2
Direct
0.464 0.464 0.604
0.252 0.252 0.246
0.043 0.043 0.898
0.741 0.741 0.751

Entry 3:
LiSc2Pt, relaxed, DFT PBE-GGA; offset from the most stable computed form = 458.2 meV/atom; symmetry = R-3m (166); calculated total energy = -5.44 eV per atom; ΔH_f (0 K) = -0.2811 eV per atom
1.0
2.058 0.000 9.632
-1.029 1.783 9.632
-1.029 -1.783 9.632
Sc Pt Li
2 1 1
Direct
0.891 0.891 0.891
0.109 0.109 0.109
0.500 0.500 0.500
0.000 0.000 0.000

Entry 4:
Ca2Ac2Zn, relaxed, DFT PBE-GGA; symmetry = I4/mmm (139); calculated total energy = -2.78 eV per atom; ΔH_f (0 K) = -0.0855 eV per atom
1.0
3.900 0.000 -0.626
-0.100 3.899 -0.626
0.004 0.004 12.494
Ca Ac Zn
2 2 1
Direct
0.805 0.805 0.610
0.195 0.195 0.390
0.576 0.576 0.153
0.424 0.424 0.847
0.000 0.000 0.000

Number 1: total magnetic moment 2.0 μB per formula unit, calculated density 6.75 g cm⁻³. Number 2: total magnetic moment 0.0 μB per formula unit, calculated density 7.82 g cm⁻³. Number 3: total magnetic moment 0.0 μB per formula unit, calculated density 4.57 g cm⁻³. Number 4: total magnetic moment 0.0 μB per formula unit, calculated density 5.24 g cm⁻³.